SrLi4Ga: relaxed, PBE.

## Properties
M_tot: 0.00 μB/f.u.
E_form: -0.118 eV per atom
E above lowest polymorph: 0.000 eV/f.u.
SG: No. 51

abc: 7.4495 4.7819 8.0616
angles: 90.00 90.00 90.00
Fractional positions:
1 Sr 0.2500 0.0000 0.1255
2 Sr 0.7500 0.0000 0.8745
3 Li 0.0000 0.0000 0.5000
4 Li 0.0718 0.5000 0.7934
5 Li 0.2500 0.5000 0.4917
6 Li 0.4282 0.5000 0.7934
7 Li 0.5000 0.0000 0.5000
8 Li 0.5718 0.5000 0.2066
9 Li 0.7500 0.5000 0.5083
10 Li 0.9282 0.5000 0.2066
11 Ga 0.2500 0.0000 0.7284
12 Ga 0.7500 0.0000 0.2716